(1)
PaTi4: relaxed, GGA-PBE.

Cell: 4.7389 4.7389 4.7389 Å, 90.00 90.00 90.00°
Positions (direct):
Pa 0.0000 0.0000 0.0000
Ti 0.0000 0.0000 0.5000
Ti 0.0000 0.5000 0.0000
Ti 0.5000 0.0000 0.0000
Ti 0.5000 0.5000 0.5000

Computed properties:
E above lowest polymorph	0.9937	eV/atom
DFT formation energy	1045	meV per atom
E	-35.853	eV per cell
symmetry	Pm-3m (221)

=====

(2)
Cd3HgCl: relaxed, GGA-PBE.

Cell: 5.4575 5.4575 5.4575 Å, 90.00 90.00 90.00°
Positions (direct):
Cd 0.0000 0.0000 0.5000
Cd 0.0000 0.5000 0.0000
Cd 0.5000 0.0000 0.0000
Hg 0.0000 0.0000 0.0000
Cl 0.5000 0.5000 0.5000

Computed properties:
formation energy without anion corrections	-0.04	eV per atom
E above lowest polymorph	0.0000	eV/atom
E	-5.108	eV per cell
symmetry	Pm-3m (221)

=====

(3)
Li2Mg3AgSn3: relaxed, GGA-PBE.

Cell: 8.1239 8.1239 3.3322 Å, 90.00 90.00 120.00°
Positions (direct):
Li 0.3333 0.6667 0.0000
Li 0.6667 0.3333 0.0000
Mg 0.0000 0.7165 0.0000
Mg 0.2835 0.2835 0.0000
Mg 0.7165 0.0000 0.0000
Ag 0.0000 0.0000 0.5000
Sn 0.0000 0.3749 0.5000
Sn 0.3749 0.0000 0.5000
Sn 0.6251 0.6251 0.5000

Computed properties:
DFT formation energy	-195	meV per atom
E	-25.227	eV per cell
symmetry	P-62m (189)

=====

(4)
AcSnTe: relaxed, GGA-PBE.

Cell: 8.2352 8.2352 7.3030 Å, 90.00 90.00 111.54°
Positions (direct):
Ac 0.1121 0.8879 0.8095
Ac 0.3879 0.6121 0.3095
Ac 0.6121 0.3879 0.6905
Ac 0.8879 0.1121 0.1905
Sn 0.1397 0.8603 0.2908
Sn 0.3603 0.6397 0.7908
Sn 0.6397 0.3603 0.2092
Sn 0.8603 0.1397 0.7092
Te 0.2117 0.2117 0.5000
Te 0.2883 0.2883 0.0000
Te 0.7117 0.7117 0.0000
Te 0.7883 0.7883 0.5000

Computed properties:
formation energy without anion corrections	-0.62	eV per atom
E above lowest polymorph	0.4202	eV/atom
E	-52.500	eV per cell
symmetry	Cmce (64)

=====

(5)
LiVZn: relaxed, GGA-PBE.

Cell: 4.1014 4.1014 4.1014 Å, 60.00 60.00 60.00°
Positions (direct):
Li 0.0000 0.0000 0.0000
V 0.5000 0.5000 0.5000
Zn 0.2500 0.2500 0.2500

Computed properties:
E above lowest polymorph	0.7069	eV/atom
DFT formation energy	714	meV per atom
E	-10.164	eV per cell
symmetry	F-43m (216)

=====

(6)
LiCaCePt: relaxed, GGA-PBE.

Cell: 5.0598 5.0598 5.0598 Å, 60.00 60.00 60.00°
Positions (direct):
Li 0.0000 0.0000 0.0000
Ca 0.2500 0.2500 0.2500
Ce 0.7500 0.7500 0.7500
Pt 0.5000 0.5000 0.5000

Computed properties:
DFT formation energy	-463	meV per atom
E	-17.741	eV per cell
symmetry	F-43m (216)